Mo2RhSe: single point on PBEsol structure, SCAN.

```
Mo2RhSe
1.0
-1.3464 0.3572 -2.6640
3.4141 -2.0109 -1.9951
-3.0566 -3.0994 2.8254
Mo Se Rh
2 1 1
Cartesian
-1.1122 -2.1588 0.2726
0.1234 -2.5942 -2.1063
1.7071 -1.0054 -0.9976
-0.6732 0.1786 -1.3320
```

## Properties
VASP energy in eV per atom: -30.761
DOS(E_F) in states/eV/f.u.: 2.5
Space-group type: No. 71

ScHg2Mo: single point on PBEsol structure, SCAN.

```
ScHg2Mo
1.0
-1.0098 -0.1059 2.8201
3.8900 -3.3758 -0.3267
2.6816 4.3139 1.1221
Mo Hg Sc
1 2 1
Cartesian
1.3408 2.1569 0.5610
2.4059 -0.6168 0.8383
3.1559 1.4490 2.7772
-0.5049 -0.0529 1.4101
```

## Properties
VASP energy in eV per atom: -46.195
DOS(E_F) in states/eV/f.u.: 3.6
Space-group type: No. 12

CaRh2: single point on PBEsol structure, SCAN.

```
CaRh2
1.0
5.2573 0.0000 0.0000
2.6287 4.5530 0.0000
2.6287 1.5177 4.2926
Rh Ca
4 2
Cartesian
6.5717 3.7942 2.6829
5.2573 1.5177 2.6829
3.9430 3.7942 2.6829
5.2573 3.0353 0.5366
0.0000 0.0000 0.0000
2.6287 1.5177 1.0731
```

## Properties
VASP energy in eV per atom: -26.201
DOS(E_F) in states/eV/f.u.: 3.3
Space-group type: No. 227

RbHSeO4: single point on PBEsol structure, SCAN.

```
RbHSeO4
1.0
-2.9192 1.1762 3.3197
2.6390 -5.6118 4.3745
6.5550 3.7530 7.4193
O Rb Se H
12 3 3 3
Cartesian
5.4444 -0.9073 13.6946
3.9281 0.1429 8.1880
2.8635 -1.2101 10.2923
1.2182 1.5711 5.0704
3.5682 0.2040 5.0728
3.2392 1.5214 10.4136
2.8471 -4.0063 4.7014
5.7119 2.9669 8.6550
1.9190 0.1777 2.8603
5.3780 -0.1041 10.5096
-1.3884 0.4662 3.2678
1.1838 -1.1779 5.0626
2.8899 -2.4683 7.1454
2.9321 2.7371 7.2280
1.3380 -2.8441 2.2328
2.0012 0.1677 4.5958
9.1548 -1.8418 11.7925
3.8751 0.0029 9.8567
5.2112 0.2074 7.5795
-0.0188 1.4248 5.7473
-1.1861 -0.0493 2.3180
```

## Properties
VASP energy in eV per atom: -11.100
DOS(E_F) in states/eV/f.u.: 0.0
Space-group type: No. 1

HfCoSbTe2: single point on PBEsol structure, SCAN.

```
HfCoSbTe2
1.0
-3.1152 -0.9761 -4.3110
-1.8114 -4.5290 2.3343
-4.0673 2.8133 2.3021
Te Co Hf Sb
2 1 1 1
Cartesian
-1.5576 -0.4880 -2.1555
-0.9057 -2.2645 1.1672
-4.4969 -1.3459 0.1627
0.0000 0.0000 0.0000
-2.0336 1.4066 1.1510
```

## Properties
VASP energy in eV per atom: -37.667
DOS(E_F) in states/eV/f.u.: 4.7
Space-group type: No. 123

SiHgO2: single point on PBEsol structure, SCAN.

```
SiHgO2
1.0
5.3649 0.0000 0.0000
2.6824 4.6461 0.0000
2.6824 1.5487 4.3804
O Hg Si
4 2 2
Cartesian
4.0237 3.8718 2.7378
5.3649 3.0974 0.5476
5.3649 1.5487 2.7378
6.7061 3.8718 2.7378
0.0000 0.0000 0.0000
2.6824 1.5487 1.0951
8.0473 4.6461 3.2853
5.3649 3.0974 2.1902
```

## Properties
VASP energy in eV per atom: -24.731
DOS(E_F) in states/eV/f.u.: 0.0
Space-group type: No. 227

Tc2Mo2Br: single point on PBEsol structure, SCAN.

```
Tc2Mo2Br
1.0
4.0235 0.0000 0.0000
0.0000 4.0235 0.0000
-2.0117 -2.0117 5.8850
Tc Br Mo
2 1 2
Cartesian
2.0117 2.0117 1.4902
0.0000 0.0000 4.3948
0.0000 0.0000 0.0000
0.0000 2.0117 2.9425
2.0117 0.0000 2.9425
```

## Properties
VASP energy in eV per atom: -31.224
DOS(E_F) in states/eV/f.u.: 3.4
Space-group type: No. 139

CaTe2P: single point on PBEsol structure, SCAN.

```
CaTe2P
1.0
-0.8190 -4.1390 0.6201
3.2737 -1.0272 -2.5326
3.7717 -0.0149 4.8815
Te Ca P
2 1 1
Cartesian
2.8308 -2.5895 1.1189
3.2731 -0.0130 4.2361
1.3785 -0.0055 1.7840
4.4017 -2.5957 3.1521
```

## Properties
VASP energy in eV per atom: -24.250
DOS(E_F) in states/eV/f.u.: 0.8
Space-group type: No. 99